Entry 1:
Entry from Alexandria: a geometry-optimized Ho3Er8Mg structure (PBE).

Cell lengths 12.9381, 12.9381, 8.6573 Å; angles 101.04, 101.04, 15.08 degrees
Last column: nearest neighbours and their distance in Å.
Element x y z (fractional)
Ho: 0.0000 0.0000 0.0000  4 Ho 3.15-3.40, 2 Er 3.25-3.43
Ho: 0.0404 0.0404 0.6793  3 Ho 3.15-3.40, 2 Er 3.23-3.44, 1 Mg 3.24
Ho: 0.8743 0.8743 0.9942  3 Ho 3.21-3.40, 7 Er 3.29-3.57
Er: 0.0857 0.0857 0.3300  6 Er 3.24-3.59, 2 Ho 3.25-3.44, 1 Mg 3.34
Er: 0.2126 0.2126 0.3423  8 Er 3.24-3.50, 1 Mg 3.37
Er: 0.2561 0.2561 0.0005  1 Mg 3.23, 7 Er 3.36-3.51, 2 Ho 3.48
Er: 0.4123 0.4123 0.6706  8 Er 3.40-3.75, 6 Ho 3.57-3.69
Er: 0.6252 0.6252 0.0056  8 Er 3.40-3.77, 2 Mg 3.61, 4 Ho 3.62-3.64
Er: 0.7820 0.7820 0.6723  1 Ho 3.29, 7 Er 3.35-3.50, 2 Mg 3.43
Er: 0.8256 0.8256 0.3315  8 Er 3.32-3.51, 1 Ho 3.39
Er: 0.9560 0.9560 0.3500  3 Ho 3.23-3.43, 6 Er 3.32-3.61
Mg: 0.1667 0.1667 0.6817  7 Er 3.23-3.61, 1 Ho 3.24, 2 Mg 3.40

Formation enthalpy at 0 K, meV per atom: 168.3
DOS at the Fermi energy, states/eV/atom: 1.825

---

Entry 2:
Entry from Alexandria: a geometry-optimized K3NiCl7 structure (PBE).

Cell lengths 9.4970, 9.4970, 6.7181 Å; angles 90.00, 90.00, 90.00 degrees
Last column: nearest neighbours and their distance in Å.
Element x y z (fractional)
K: 0.0000 0.0000 0.0000  6 Cl 3.36-3.54
K: 0.1736 0.3264 0.5000  10 Cl 3.31-3.51
K: 0.3264 0.8264 0.5000  10 Cl 3.31-3.51
K: 0.5000 0.5000 0.0000  6 Cl 3.36-3.54
K: 0.6736 0.1736 0.5000  10 Cl 3.31-3.51
K: 0.8264 0.6736 0.5000  10 Cl 3.31-3.51
Ni: 0.0000 0.5000 0.0000  6 Cl 2.24-2.25
Ni: 0.5000 0.0000 0.0000  6 Cl 2.24-2.25
Cl: 0.0000 0.0000 0.5000  6 K 3.36-3.51
Cl: 0.1164 0.6164 0.2386  1 Ni 2.24
Cl: 0.1164 0.6164 0.7614  1 Ni 2.24
Cl: 0.1676 0.3324 0.0000  1 Ni 2.25
Cl: 0.3324 0.8324 0.0000  1 Ni 2.25
Cl: 0.3836 0.1164 0.2386  1 Ni 2.24
Cl: 0.3836 0.1164 0.7614  1 Ni 2.24
Cl: 0.5000 0.5000 0.5000  6 K 3.36-3.51
Cl: 0.6164 0.8836 0.2386  1 Ni 2.24
Cl: 0.6164 0.8836 0.7614  1 Ni 2.24
Cl: 0.6676 0.1676 0.0000  1 Ni 2.25
Cl: 0.8324 0.6676 0.0000  1 Ni 2.25
Cl: 0.8836 0.3836 0.2386  1 Ni 2.24
Cl: 0.8836 0.3836 0.7614  1 Ni 2.24

Raw formation energy, eV per formula unit: -13.6

---

Entry 3:
Entry from Alexandria: a geometry-optimized SrPa4Mn3N12 structure (PBE).

Cell lengths 7.0827, 7.0827, 7.0827 Å; angles 109.47, 109.47, 109.47 degrees
Last column: nearest neighbours and their distance in Å.
Element x y z (fractional)
Sr: 0.0000 0.0000 0.0000  12 N 2.94
Pa: 0.0000 0.0000 0.5000  6 N 2.26
Pa: 0.0000 0.5000 0.0000  6 N 2.26
Pa: 0.5000 0.0000 0.0000  6 N 2.26
Pa: 0.5000 0.5000 0.5000  6 N 2.26
Mn: 0.0000 0.5000 0.5000  4 N 1.94
Mn: 0.5000 0.0000 0.5000  4 N 1.94
Mn: 0.5000 0.5000 0.0000  4 N 1.94
N: 0.1586 0.3230 0.4816  1 Mn 1.94
N: 0.1586 0.6770 0.8357  1 Mn 1.94
N: 0.1643 0.8414 0.3230  1 Mn 1.94
N: 0.3230 0.1643 0.8414  1 Mn 1.94
N: 0.3230 0.4816 0.1586  1 Mn 1.94
N: 0.4816 0.1586 0.3230  1 Mn 1.94
N: 0.5184 0.8414 0.6770  1 Mn 1.94
N: 0.6770 0.5184 0.8414  1 Mn 1.94
N: 0.6770 0.8357 0.1586  1 Mn 1.94
N: 0.8357 0.1586 0.6770  1 Mn 1.94
N: 0.8414 0.3230 0.1643  1 Mn 1.94
N: 0.8414 0.6770 0.5184  1 Mn 1.94

Raw formation energy, eV per formula unit: -14.0
DOS at the Fermi energy, states/eV/atom: 0.408

---

Entry 4:
Entry from Alexandria: a geometry-optimized Sc2TlCuSe4 structure (PBE).

Cell lengths 7.1330, 7.1330, 13.9865 Å; angles 90.00, 90.00, 147.93 degrees
Last column: nearest neighbours and their distance in Å.
Element x y z (fractional)
Sc: 0.1299 0.8701 0.5677  6 Se 2.70-2.83
Sc: 0.1299 0.8701 0.9323  6 Se 2.70-2.83
Sc: 0.8701 0.1299 0.0677  6 Se 2.70-2.83
Sc: 0.8701 0.1299 0.4323  6 Se 2.70-2.83
Tl: 0.3797 0.6203 0.7500  6 Se 3.18-3.28, 2 Cu 3.54
Tl: 0.6203 0.3797 0.2500  6 Se 3.18-3.28, 2 Cu 3.54
Cu: 0.3352 0.6648 0.2500  4 Se 2.42-2.43
Cu: 0.6648 0.3352 0.7500  4 Se 2.42-2.43
Se: 0.0618 0.9382 0.7500  2 Cu 2.42
Se: 0.2402 0.7598 0.1034  1 Cu 2.43, 2 Sc 2.70
Se: 0.2402 0.7598 0.3966  1 Cu 2.43, 2 Sc 2.70
Se: 0.5000 0.5000 0.0000  4 Sc 2.82
Se: 0.5000 0.5000 0.5000  4 Sc 2.82
Se: 0.7598 0.2402 0.6034  1 Cu 2.43, 2 Sc 2.70
Se: 0.7598 0.2402 0.8966  1 Cu 2.43, 2 Sc 2.70
Se: 0.9382 0.0618 0.2500  2 Cu 2.42

Raw formation energy, eV per formula unit: -9.3

---

Entry 5:
Entry from Alexandria: a geometry-optimized LaTcTe structure (PBE).

Cell lengths 3.4182, 3.4182, 12.0154 Å; angles 90.00, 90.00, 90.00 degrees
Last column: nearest neighbours and their distance in Å.
Element x y z (fractional)
La: 0.0000 0.0000 0.0000  4 Tc 3.22, 4 La 3.42, 5 Te 3.44-3.52
La: 0.5000 0.5000 0.5000  4 Tc 3.22, 4 La 3.42, 5 Te 3.44-3.52
Tc: 0.0000 0.0000 0.3235  4 Te 2.75
Tc: 0.5000 0.5000 0.8235  4 Te 2.75
Te: 0.0000 0.0000 0.7135  4 Tc 2.75
Te: 0.5000 0.5000 0.2135  4 Tc 2.75

Raw formation energy, eV per formula unit: -0.7
Energy relative to the lowest polymorph listed for this composition, meV per atom: 126
DOS at the Fermi energy, states/eV/atom: 0.510

---

Entry 6:
Entry from Alexandria: a geometry-optimized KZrBe3 structure (PBE).

Cell lengths 4.4798, 4.4798, 4.4798 Å; angles 90.00, 90.00, 90.00 degrees
Last column: nearest neighbours and their distance in Å.
Element x y z (fractional)
K: 0.0000 0.0000 0.0000  6 Be 2.24
Zr: 0.5000 0.5000 0.5000  12 Be 3.17
Be: 0.0000 0.0000 0.5000  2 K 2.24
Be: 0.0000 0.5000 0.0000  2 K 2.24
Be: 0.5000 0.0000 0.0000  2 K 2.24

Formation enthalpy at 0 K, meV per atom: 1946.5
Energy relative to the lowest polymorph listed for this composition, meV per atom: 550
DOS at the Fermi energy, states/eV/atom: 0.478

---

Entry 7:
Entry from Alexandria: a geometry-optimized BeCl2 structure (PBE).

Cell lengths 6.1387, 6.1387, 6.0620 Å; angles 90.00, 90.00, 120.00 degrees
Last column: nearest neighbours and their distance in Å.
Element x y z (fractional)
Be: 0.0000 0.0000 0.0000  3 Cl 1.92
Be: 0.3333 0.6667 0.5000  3 Cl 1.98
Be: 0.6667 0.3333 0.5000  3 Cl 1.98
Cl: 0.0000 0.3564 0.5000  2 Be 1.98
Cl: 0.0000 0.6879 0.0000  1 Be 1.92
Cl: 0.3121 0.3121 0.0000  1 Be 1.92
Cl: 0.3564 0.0000 0.5000  2 Be 1.98
Cl: 0.6436 0.6436 0.5000  2 Be 1.98
Cl: 0.6879 0.0000 0.0000  1 Be 1.92

Raw formation energy, eV per formula unit: -3.4
Energy relative to the lowest polymorph listed for this composition, meV per atom: 303
DOS at the Fermi energy, states/eV/atom: 0.000

---

Entry 8:
Entry from Alexandria: a geometry-optimized Tb5Te4Pb structure (PBE).

Cell lengths 15.8809, 15.8809, 15.8809 Å; angles 164.10, 164.10, 22.55 degrees
Last column: nearest neighbours and their distance in Å.
Element x y z (fractional)
Tb: 0.0000 0.0000 0.0000  4 Pb 3.11, 2 Te 3.18
Tb: 0.2028 0.2028 0.0000  6 Te 3.08-3.14
Tb: 0.4021 0.4021 0.0000  1 Pb 3.05, 5 Te 3.11-3.13
Tb: 0.5979 0.5979 0.0000  1 Pb 3.05, 5 Te 3.11-3.13
Tb: 0.7972 0.7972 0.0000  6 Te 3.08-3.14
Te: 0.1020 0.1020 0.0000  6 Tb 3.11-3.18
Te: 0.3017 0.3017 0.0000  6 Tb 3.08-3.13
Te: 0.6983 0.6983 0.0000  6 Tb 3.08-3.13
Te: 0.8980 0.8980 0.0000  6 Tb 3.11-3.18
Pb: 0.5000 0.5000 0.0000  6 Tb 3.05-3.11

Raw formation energy, eV per formula unit: -11.8
Energy relative to the lowest polymorph listed for this composition, meV per atom: 17
DOS at the Fermi energy, states/eV/atom: 0.460

---

Entry 9:
Entry from Alexandria: a geometry-optimized NaBi4Rh2 structure (PBE).

Cell lengths 11.5359, 11.5359, 11.5359 Å; angles 21.93, 21.93, 21.93 degrees
Last column: nearest neighbours and their distance in Å.
Element x y z (fractional)
Na: 0.0000 0.0000 0.0000  6 Bi 3.29, 2 Rh 3.37
Bi: 0.2010 0.2010 0.2010  3 Rh 2.76
Bi: 0.3955 0.3955 0.3955  3 Rh 2.84
Bi: 0.6045 0.6045 0.6045  3 Rh 2.84
Bi: 0.7990 0.7990 0.7990  3 Rh 2.76
Rh: 0.0999 0.0999 0.0999  6 Bi 2.76-2.84
Rh: 0.9001 0.9001 0.9001  6 Bi 2.76-2.84

Formation enthalpy at 0 K, meV per atom: -168.4
Energy relative to the lowest polymorph listed for this composition, meV per atom: 0
DOS at the Fermi energy, states/eV/atom: 0.645

---

Entry 10:
Entry from Alexandria: a geometry-optimized RbBa2Np3N8 structure (PBE).

Cell lengths 7.6113, 7.6113, 7.6113 Å; angles 54.67, 54.67, 54.67 degrees
Last column: nearest neighbours and their distance in Å.
Element x y z (fractional)
Rb: 0.0000 0.0000 0.0000  4 N 2.77-2.99
Ba: 0.2353 0.2353 0.2353  3 N 2.60
Ba: 0.6260 0.6260 0.6260  6 N 2.76
Np: 0.1237 0.6252 0.6252  6 N 2.11-2.29
Np: 0.6252 0.1237 0.6252  6 N 2.11-2.29
Np: 0.6252 0.6252 0.1237  6 N 2.11-2.29
N: 0.3742 0.3742 0.7883  2 Np 2.15
N: 0.3742 0.7883 0.3742  2 Np 2.15
N: 0.4033 0.4033 0.4033  3 Np 2.29
N: 0.4662 0.8771 0.8771  2 Np 2.11
N: 0.7883 0.3742 0.3742  2 Np 2.15
N: 0.8455 0.8455 0.8455  3 Np 2.27
N: 0.8771 0.4662 0.8771  2 Np 2.11
N: 0.8771 0.8771 0.4662  2 Np 2.11

Raw formation energy, eV per formula unit: -11.0
DOS at the Fermi energy, states/eV/atom: 0.684